A plane-wave DFT calculation with PBE-GGA was carried out for an optimized crystal structure of B2C.

Output
density = 2.21 g cm⁻³
uncorrected energy = -7.138 eV per atom
energy above the lowest structure with this stoichiometry = 203 meV/atom
size of the total moment = 0.0 μB per formula unit

a b c (Å): 2.6811 2.6811 16.2435
angles (deg): 90.00 90.00 120.00
Space group P-3m1 (No. 164)
Asymmetric unit:
B1 0.0000 0.0000 0.1497
B2 0.3333 0.6667 0.0191
B3 0.3333 0.6667 0.2523
B4 0.3333 0.6667 0.9155
C1 0.0000 0.0000 0.2460
C2 0.3333 0.6667 0.5000

---

A plane-wave DFT calculation with PBE-GGA was carried out for an optimized crystal structure of LuGa2Bi.

Output
density = 9.47 g cm⁻³
uncorrected energy = -3.942 eV per atom
energy above the lowest structure with this stoichiometry = 0 meV/atom
size of the total moment = 0.0 μB per formula unit

a b c (Å): 4.5953 4.5953 4.3464
angles (deg): 90.00 90.00 90.00
Space group P4/mmm (No. 123)
Asymmetric unit:
Lu1 0.0000 0.0000 0.0000
Ga1 0.0000 0.5000 0.5000
Bi1 0.5000 0.5000 0.0000

---

A plane-wave DFT calculation with PBE-GGA was carried out for an optimized crystal structure of AcHoTl2Ag2.

Output
density = 10.46 g cm⁻³
uncorrected energy = -3.471 eV per atom
size of the total moment = 0.0 μB per formula unit

a b c (Å): 4.9531 4.9531 7.5976
angles (deg): 90.00 90.00 120.00
Space group P-3m1 (No. 164)
Asymmetric unit:
Ac1 0.0000 0.0000 0.0000
Ho1 0.0000 0.0000 0.5000
Tl1 0.3333 0.6667 0.2776
Ag1 0.3333 0.6667 0.7042

---

Q: What is the formula in the third record?
A: AcHoTl2Ag2